The following is a DFT calculation (PBE) of KPmAg2Br8 after structural relaxation.

The energy relative to the elements, uncorrected comes out at -940 meV/atom.

abc: 7.198 7.198 9.159
angles: 113.14 113.14 90.00
Fractional positions:
K 0.750 0.250 0.500
Pm 0.000 0.000 0.000
Ag 0.500 0.500 0.000
Ag 0.250 0.750 0.500
Br 0.737 0.854 0.127
Br 0.390 0.273 0.127
Br 0.630 0.696 0.674
Br 0.045 0.978 0.674
Br 0.022 0.370 0.326
Br 0.304 0.955 0.326
Br 0.146 0.610 0.873
Br 0.727 0.263 0.873

The following is a DFT calculation (PBE) of InTeAsBr2 after structural relaxation.

The energy relative to the elements, uncorrected comes out at 109 meV/atom. The relative energy among the computed polymorphs is 0.0 meV/atom.

abc: 5.961 5.961 5.165
angles: 90.00 90.00 90.00
Fractional positions:
As 0.000 0.000 0.500
Te 0.000 0.000 0.000
Br 0.000 0.500 0.000
Br 0.500 0.000 0.000
In 0.500 0.500 0.500

The following is a DFT calculation (PBE) of PmMgHgPd after structural relaxation.

The calculation puts the final energy at -3.524 eV per atom.

abc: 4.818 5.295 5.305
angles: 126.09 117.01 90.00
Fractional positions:
Pm 0.998 0.003 0.997
Mg 0.513 0.487 0.027
Hg 0.769 0.229 0.539
Pd 0.219 0.781 0.438

The following is a DFT calculation (PBE) of TbNdCoAg after structural relaxation.

The calculation puts the final energy at -4.943 eV per atom.

abc: 5.043 5.043 5.043
angles: 60.00 60.00 60.00
Each line ends with the local moment (μB).
Fractional positions:
Nd 0.500 0.500 0.500  -0.09
Tb 0.000 0.000 0.000  -0.15
Ag 0.250 0.250 0.250  -0.01
Co 0.750 0.750 0.750  0.85

| no. | V (Å³ per cell) |
| --- | --- |
| 1 | 395 |
| 2 | 184 |
| 3 | 90 |
| 4 | 91 |